The following is a DFT calculation (PBE-GGA) of an optimized crystal structure of NaTi2CdS.

Cell lengths 4.5630, 4.5630, 4.9861 Å; angles 90.00, 90.00, 90.00 degrees
Closest atoms and distances in Å follow each position.
Space group P4/mmm (No. 123)
One atom of each set of equivalent atoms:
Na  0.0000  0.0000  0.0000 [1 per cell]  2 S 2.49
Ti  0.0000  0.5000  0.5000 [2 per cell]  2 S 2.28
Cd  0.5000  0.5000  0.0000 [1 per cell]  4 Na 3.23, 8 Ti 3.38
S  0.0000  0.0000  0.5000 [1 per cell]  4 Ti 2.28, 2 Na 2.49

Results
Total moment: 0.000 μB per formula unit
DFT total energy: -23.195 eV for the cell shown
V: 20.76 A^3/atom

The following is a DFT calculation (PBE-GGA) of an optimized crystal structure of Na2TiCdS4.

Cell lengths 6.2642, 6.2642, 10.7717 Å; angles 90.00, 90.00, 90.00 degrees
Closest atoms and distances in Å follow each position.
Space group I-4 (No. 82)
One atom of each set of equivalent atoms:
Na  0.0000  0.0000  0.0000 [2 per cell]  4 S 2.77
Na  0.0000  0.5000  0.2500 [2 per cell]  4 S 2.82
Ti  0.0000  0.5000  0.7500 [2 per cell]  4 S 2.28
Cd  0.0000  0.0000  0.5000 [2 per cell]  4 S 2.56
S  0.2009  0.7290  0.6343 [8 per cell]  1 Ti 2.28

Results
Total moment: 0.000 μB per formula unit
DFT total energy: -73.159 eV for the cell shown
V: 26.42 A^3/atom

The following is a DFT calculation (PBE-GGA) of an optimized crystal structure of Na2TlCdS.

Cell lengths 5.5480, 5.5480, 5.5108 Å; angles 90.00, 90.00, 90.00 degrees
Closest atoms and distances in Å follow each position.
Space group P4/mmm (No. 123)
One atom of each set of equivalent atoms:
Na  0.0000  0.5000  0.0000 [2 per cell]  2 Cd 2.77
Tl  0.0000  0.0000  0.5000 [1 per cell]  2 Cd 2.76
Cd  0.0000  0.0000  0.0000 [1 per cell]  2 Tl 2.76, 4 Na 2.77
S  0.5000  0.5000  0.5000 [1 per cell]  8 Na 3.91, 4 Tl 3.92

Results
Total moment: 0.000 μB per formula unit
DFT total energy: -9.050 eV for the cell shown
V: 33.92 A^3/atom

The following is a DFT calculation (PBE-GGA) of an optimized crystal structure of Na3U3CdS8.

Cell lengths 7.8778, 7.8778, 20.2823 Å; angles 90.00, 90.00, 120.00 degrees
Closest atoms and distances in Å follow each position.
Space group R-3m (No. 166, hexagonal axes)
One atom of each set of equivalent atoms:
Na  0.0000  0.5000  0.0000 [9 per cell]  6 S 2.92-2.96
U  0.0000  0.5000  0.5000 [9 per cell]  6 S 2.72-2.75
Cd  0.0000  0.0000  0.5000 [3 per cell]  6 S 2.77
S  0.0000  0.0000  0.2433 [6 per cell]  3 U 2.75, 3 Na 2.92
S  0.0063  0.5032  0.7584 [18 per cell]  2 U 2.72, 1 Cd 2.77, 2 Na 2.96

Results
Total moment: 7.000 μB per formula unit
DFT total energy: -270.991 eV for the cell shown
V: 24.22 A^3/atom

The following is a DFT calculation (PBE-GGA) of an optimized crystal structure of NaZrCd2S.

Cell lengths 5.3045, 5.3045, 4.8181 Å; angles 90.00, 90.00, 90.00 degrees
Closest atoms and distances in Å follow each position.
Space group P4/mmm (No. 123)
One atom of each set of equivalent atoms:
Na  0.0000  0.0000  0.0000 [1 per cell]  8 Cd 3.58, 4 Zr 3.75
Zr  0.5000  0.5000  0.0000 [1 per cell]  2 S 2.41
Cd  0.0000  0.5000  0.5000 [2 per cell]  2 S 2.65
S  0.5000  0.5000  0.5000 [1 per cell]  2 Zr 2.41, 4 Cd 2.65

Results
Total moment: 0.720 μB per formula unit
DFT total energy: -15.092 eV for the cell shown
V: 27.11 A^3/atom

The following is a DFT calculation (PBE-GGA) of an optimized crystal structure of Na3ZrCd2S6.

Cell lengths 6.6824, 11.5909, 7.0622 Å; angles 90.00, 108.51, 90.00 degrees
Closest atoms and distances in Å follow each position.
Space group C2/m (No. 12)
One atom of each set of equivalent atoms:
Na  0.0000  0.0000  0.0000 [2 per cell]  6 S 2.86-2.98
Na  0.0000  0.3281  0.0000 [4 per cell]  6 S 2.86-2.93
Zr  0.0000  0.5000  0.5000 [2 per cell]  6 S 2.60
Cd  0.0000  0.1662  0.5000 [4 per cell]  6 S 2.73
S  0.2335  0.3408  0.7240 [8 per cell]  1 Zr 2.60, 2 Cd 2.73, 2 Na 2.86
S  0.2429  0.5000  0.2765 [4 per cell]  1 Zr 2.60, 2 Cd 2.73, 2 Na 2.90

Results
Total moment: 0.005 μB per formula unit
DFT total energy: -101.395 eV for the cell shown
V: 21.61 A^3/atom

The following is a DFT calculation (PBE-GGA) of an optimized crystal structure of Na3Cd5Sb2.

Cell lengths 13.1055, 13.1186, 6.5559 Å; angles 90.00, 90.00, 90.00 degrees
Closest atoms and distances in Å follow each position.
Space group Ibam (No. 72)
One atom of each set of equivalent atoms:
Na  0.0000  0.0000  0.2500 [4 per cell]  4 Sb 3.10, 2 Na 3.28
Na  0.1317  0.2428  0.0000 [8 per cell]  3 Sb 3.33-3.54, 4 Cd 3.50-3.59
Cd  0.0000  0.5000  0.2500 [4 per cell]  8 Cd 2.93-3.28
Cd  0.1116  0.3520  0.5000 [8 per cell]  1 Sb 2.79, 4 Cd 2.93-3.00
Cd  0.2332  0.5000  0.2500 [8 per cell]  2 Sb 2.96, 5 Cd 3.00-3.28
Sb  0.1427  0.1413  0.5000 [8 per cell]  3 Cd 2.79-2.96, 2 Na 3.10

Results
Total moment: 0.000 μB per formula unit
DFT total energy: -73.678 eV for the cell shown
V: 28.18 A^3/atom

The following is a DFT calculation (PBE-GGA) of an optimized crystal structure of Na2CdSb.

Cell lengths 4.5917, 4.5917, 4.8674 Å; angles 90.00, 90.00, 90.00 degrees
Closest atoms and distances in Å follow each position.
Space group P4/mmm (No. 123)
One atom of each set of equivalent atoms:
Na  0.0000  0.5000  0.0000 [2 per cell]  4 Na 3.25, 4 Sb 3.35, 4 Cd 3.35
Cd  0.0000  0.0000  0.5000 [1 per cell]  4 Sb 3.25, 8 Na 3.35
Sb  0.5000  0.5000  0.5000 [1 per cell]  4 Cd 3.25, 8 Na 3.35

Results
Total moment: 0.000 μB per formula unit
DFT total energy: -8.554 eV for the cell shown
V: 25.66 A^3/atom

Energy relative to the elements, uncorrected (eV per atom)
-0.21 -1.08 0.20 -1.24 0.15 -0.97 -0.16 -0.22